Entry from Alexandria via LeMat-Bulk: a relaxed structure of ThPd4Pb (GGA-PBE).

Properties
Crystal system: cubic
Space-group type: F-43m (216)
Uncorrected energy: -35.444 eV/f.u.
Density of states at the Fermi level: 3.90 states/eV/cell
M_tot: 0.000 μB per formula unit
Excess energy over the best structure of this formula in the dataset: 0 meV/atom
ΔH_f (0 K): -3.545 eV/f.u.

Cell: 5.4857 5.4857 5.4857 Å, 60.00 60.00 60.00°
Atoms (fractional coordinates):
Th1 0.0000 0.0000 0.0000
Pd1 0.3749 0.3749 0.3749
Pd2 0.3749 0.3749 0.8752
Pd3 0.3749 0.8752 0.3749
Pd4 0.8752 0.3749 0.3749
Pb1 0.7500 0.7500 0.7500